Run i
# Bi2Sb2I

A relaxed structure of Bi2Sb2I (PBEsol, Alexandria).

CIF file:
```
data_Bi2Sb2I
_symmetry_space_group_name_H-M 'P 1'
_symmetry_Int_Tables_number 1
_cell_length_a 5.037
_cell_length_b 5.037
_cell_length_c 13.807
_cell_angle_alpha 90.00
_cell_angle_beta 90.00
_cell_angle_gamma 90.00
loop_
_symmetry_equiv_pos_as_xyz
'x,y,z'
loop_
_atom_site_label
_atom_site_type_symbol
_atom_site_fract_x
_atom_site_fract_y
_atom_site_fract_z
Bi1 Bi 0.000 0.000 0.126
Bi2 Bi 0.000 0.000 0.874
Bi3 Bi 0.500 0.500 0.374
Bi4 Bi 0.500 0.500 0.626
Sb1 Sb 0.000 0.500 0.250
Sb2 Sb 0.000 0.500 0.750
Sb3 Sb 0.500 0.000 0.250
Sb4 Sb 0.500 0.000 0.750
I1 I 0.000 0.000 0.500
I2 I 0.500 0.500 0.000
```

Properties
crystal system: tetragonal

---

Run ii
# Bi2Sb2I

A relaxed structure of Bi2Sb2I (PBEsol, Alexandria).

CIF file:
```
data_Bi2Sb2I
_symmetry_space_group_name_H-M 'P 1'
_symmetry_Int_Tables_number 1
_cell_length_a 5.270
_cell_length_b 5.270
_cell_length_c 12.459
_cell_angle_alpha 90.00
_cell_angle_beta 90.00
_cell_angle_gamma 90.00
loop_
_symmetry_equiv_pos_as_xyz
'x,y,z'
loop_
_atom_site_label
_atom_site_type_symbol
_atom_site_fract_x
_atom_site_fract_y
_atom_site_fract_z
Bi1 Bi 0.000 0.500 0.250
Bi2 Bi 0.000 0.500 0.750
Bi3 Bi 0.500 0.000 0.250
Bi4 Bi 0.500 0.000 0.750
Sb1 Sb 0.000 0.000 0.125
Sb2 Sb 0.000 0.000 0.875
Sb3 Sb 0.500 0.500 0.375
Sb4 Sb 0.500 0.500 0.625
I1 I 0.000 0.000 0.500
I2 I 0.500 0.500 0.000
```

Properties
crystal system: tetragonal

---

It is run i that is most stable; the runner-up trails by 0.034 eV/atom.

---

Run i
# ScBi3I

A relaxed structure of ScBi3I (PBEsol, Alexandria).

CIF file:
```
data_ScBi3I
_symmetry_space_group_name_H-M 'P 1'
_symmetry_Int_Tables_number 1
_cell_length_a 5.546
_cell_length_b 5.546
_cell_length_c 5.546
_cell_angle_alpha 90.00
_cell_angle_beta 90.00
_cell_angle_gamma 90.00
loop_
_symmetry_equiv_pos_as_xyz
'x,y,z'
loop_
_atom_site_label
_atom_site_type_symbol
_atom_site_fract_x
_atom_site_fract_y
_atom_site_fract_z
Sc1 Sc 0.000 0.000 0.000
Bi1 Bi 0.000 0.000 0.500
Bi2 Bi 0.000 0.500 0.000
Bi3 Bi 0.500 0.000 0.000
I1 I 0.500 0.500 0.500
```

Properties
crystal system: cubic

---

Run ii
# ScBi3I

A relaxed structure of ScBi3I (PBEsol, Alexandria).

CIF file:
```
data_ScBi3I
_symmetry_space_group_name_H-M 'P 1'
_symmetry_Int_Tables_number 1
_cell_length_a 5.773
_cell_length_b 5.773
_cell_length_c 5.773
_cell_angle_alpha 90.00
_cell_angle_beta 90.00
_cell_angle_gamma 90.00
loop_
_symmetry_equiv_pos_as_xyz
'x,y,z'
loop_
_atom_site_label
_atom_site_type_symbol
_atom_site_fract_x
_atom_site_fract_y
_atom_site_fract_z
Sc1 Sc 0.000 0.000 0.000
Bi1 Bi 0.000 0.500 0.500
Bi2 Bi 0.500 0.000 0.500
Bi3 Bi 0.500 0.500 0.000
I1 I 0.500 0.500 0.500
```

Properties
crystal system: cubic

---

It is run i that is most stable; the runner-up trails by 0.799 eV/atom.